Entry 1:
{
  "formula": "BaTmO2",
  "functional": "PBE",
  "state": "relaxed",
  "polymorph_energy_mev_per_atom": 107.1,
  "raw_formation_energy_ev_per_atom": -2.68,
  "dos_at_fermi_per_ev_cell": 3.17,
  "cell": [[3.4700, 0.0000, 0.0000], [-1.7350, 3.0051, 0.0000], [0.0000, 0.0000, 20.0129]],
  "species": ["Ba", "Ba", "Ba", "Tm", "Tm", "Tm", "O", "O", "O", "O", "O", "O"],
  "frac_coords": [[0.0000, 0.0000, 0.0000], [0.3333, 0.6667, 0.6667], [0.6667, 0.3333, 0.3333], [0.0000, 0.0000, 0.8268], [0.3333, 0.6667, 0.4935], [0.6667, 0.3333, 0.1602], [0.0000, 0.0000, 0.2168], [0.0000, 0.0000, 0.4365], [0.3333, 0.6667, 0.1032], [0.3333, 0.6667, 0.8834], [0.6667, 0.3333, 0.5501], [0.6667, 0.3333, 0.7698]]
}

---

Entry 2:
{
  "formula": "BaTm2O4",
  "functional": "PBE",
  "state": "relaxed",
  "polymorph_energy_mev_per_atom": 0.0,
  "raw_formation_energy_ev_per_atom": -3.34,
  "dos_at_fermi_per_ev_cell": 0.00,
  "cell": [[10.4098, 0.0000, 0.0000], [0.0000, 3.4257, 0.0000], [0.0000, 0.0000, 12.0544]],
  "species": ["Ba", "Ba", "Ba", "Ba", "Tm", "Tm", "Tm", "Tm", "Tm", "Tm", "Tm", "Tm", "O", "O", "O", "O", "O", "O", "O", "O", "O", "O", "O", "O", "O", "O", "O", "O"],
  "frac_coords": [[0.2464, 0.2500, 0.1496], [0.2536, 0.7500, 0.6496], [0.7464, 0.2500, 0.3504], [0.7536, 0.7500, 0.8504], [0.0723, 0.2500, 0.3895], [0.0779, 0.2500, 0.8919], [0.4221, 0.7500, 0.3919], [0.4277, 0.7500, 0.8895], [0.5723, 0.2500, 0.1105], [0.5779, 0.2500, 0.6081], [0.9221, 0.7500, 0.1081], [0.9277, 0.7500, 0.6105], [0.0195, 0.7500, 0.7827], [0.0692, 0.2500, 0.5736], [0.1130, 0.7500, 0.0176], [0.2091, 0.7500, 0.3454], [0.2909, 0.2500, 0.8454], [0.3870, 0.2500, 0.5176], [0.4308, 0.7500, 0.0736], [0.4805, 0.2500, 0.2827], [0.5195, 0.7500, 0.7173], [0.5692, 0.2500, 0.9264], [0.6130, 0.7500, 0.4824], [0.7091, 0.7500, 0.1546], [0.7909, 0.2500, 0.6546], [0.8870, 0.2500, 0.9824], [0.9308, 0.7500, 0.4264], [0.9805, 0.2500, 0.2173]]
}

---

Entry 3:
{
  "formula": "Ba2TmO3",
  "functional": "PBE",
  "state": "relaxed",
  "raw_formation_energy_ev_per_atom": -2.62,
  "dos_at_fermi_per_ev_cell": 3.31,
  "cell": [[5.9569, -2.8834, 0.0000], [5.9569, 2.8834, 0.0000], [-2.1085, 0.0000, 6.7517]],
  "species": ["Ba", "Ba", "Ba", "Ba", "Tm", "Tm", "O", "O", "O", "O", "O", "O"],
  "frac_coords": [[0.1664, 0.1731, 0.0854], [0.1731, 0.1664, 0.5854], [0.8269, 0.8336, 0.4146], [0.8336, 0.8269, 0.9146], [0.4660, 0.5340, 0.7500], [0.5340, 0.4660, 0.2500], [0.1021, 0.8979, 0.7500], [0.3659, 0.3730, 0.4338], [0.3730, 0.3659, 0.9338], [0.6270, 0.6341, 0.0662], [0.6341, 0.6270, 0.5662], [0.8979, 0.1021, 0.2500]]
}

---

Entry 4:
{
  "formula": "BaTm2O4",
  "functional": "PBE",
  "state": "relaxed",
  "polymorph_energy_mev_per_atom": 2.7,
  "raw_formation_energy_ev_per_atom": -3.34,
  "dos_at_fermi_per_ev_cell": 0.00,
  "cell": [[5.1762, -3.0618, 0.0000], [5.1762, 3.0618, 0.0000], [-0.1677, 0.0000, 21.7737]],
  "species": ["Ba", "Ba", "Ba", "Ba", "Ba", "Ba", "Tm", "Tm", "Tm", "Tm", "Tm", "Tm", "Tm", "Tm", "Tm", "Tm", "Tm", "Tm", "O", "O", "O", "O", "O", "O", "O", "O", "O", "O", "O", "O", "O", "O", "O", "O", "O", "O", "O", "O", "O", "O", "O", "O"],
  "frac_coords": [[0.1114, 0.8886, 0.7500], [0.2254, 0.4471, 0.3573], [0.4471, 0.2254, 0.8573], [0.5529, 0.7746, 0.1427], [0.7746, 0.5529, 0.6427], [0.8886, 0.1114, 0.2500], [0.1139, 0.8768, 0.5706], [0.1232, 0.8861, 0.9294], [0.2157, 0.4553, 0.0522], [0.2181, 0.4429, 0.1942], [0.4429, 0.2181, 0.6942], [0.4553, 0.2157, 0.5522], [0.5447, 0.7843, 0.4478], [0.5571, 0.7819, 0.3058], [0.7819, 0.5571, 0.8058], [0.7843, 0.5447, 0.9478], [0.8768, 0.1139, 0.0706], [0.8861, 0.1232, 0.4294], [0.0062, 0.6552, 0.8754], [0.0930, 0.2063, 0.9972], [0.1054, 0.3344, 0.7483], [0.1109, 0.7707, 0.1234], [0.2063, 0.0930, 0.4972], [0.2293, 0.8891, 0.3766], [0.2307, 0.5269, 0.6194], [0.3344, 0.1054, 0.2483], [0.3448, 0.9938, 0.6246], [0.4552, 0.5448, 0.2500], [0.4731, 0.7693, 0.8806], [0.5000, 0.5000, 0.0000], [0.5000, 0.5000, 0.5000], [0.5269, 0.2307, 0.1194], [0.5448, 0.4552, 0.7500], [0.6552, 0.0062, 0.3754], [0.6656, 0.8946, 0.7517], [0.7693, 0.4731, 0.3806], [0.7707, 0.1109, 0.6234], [0.7937, 0.9070, 0.5028], [0.8891, 0.2293, 0.8766], [0.8946, 0.6656, 0.2517], [0.9070, 0.7937, 0.0028], [0.9938, 0.3448, 0.1246]]
}

---

Entry 5:
{
  "formula": "BaTmO2",
  "functional": "PBE",
  "state": "relaxed",
  "polymorph_energy_mev_per_atom": 300.3,
  "raw_formation_energy_ev_per_atom": -2.49,
  "dos_at_fermi_per_ev_cell": 4.29,
  "cell": [[6.7625, 0.0000, 0.0000], [0.0000, 10.8537, 0.0000], [0.0000, 0.0000, 6.4762]],
  "species": ["Ba", "Ba", "Ba", "Ba", "Tm", "Tm", "Tm", "Tm", "O", "O", "O", "O", "O", "O", "O", "O"],
  "frac_coords": [[0.0000, 0.1316, 0.2500], [0.0000, 0.8684, 0.7500], [0.5000, 0.3684, 0.7500], [0.5000, 0.6316, 0.2500], [0.0000, 0.5000, 0.0000], [0.0000, 0.5000, 0.5000], [0.5000, 0.0000, 0.0000], [0.5000, 0.0000, 0.5000], [0.2147, 0.4904, 0.2500], [0.2147, 0.5096, 0.7500], [0.2853, 0.0096, 0.7500], [0.2853, 0.9904, 0.2500], [0.7147, 0.0096, 0.7500], [0.7147, 0.9904, 0.2500], [0.7853, 0.4904, 0.2500], [0.7853, 0.5096, 0.7500]]
}

---

Entry 6:
{
  "formula": "Ba3Tm4O9",
  "functional": "PBE",
  "state": "relaxed",
  "raw_formation_energy_ev_per_atom": -3.23,
  "dos_at_fermi_per_ev_cell": 0.00,
  "cell": [[3.0375, 1.7537, 8.4052], [-3.0375, 1.7537, 8.4052], [0.0000, -3.5074, 8.4052]],
  "species": ["Ba", "Ba", "Ba", "Tm", "Tm", "Tm", "Tm", "O", "O", "O", "O", "O", "O", "O", "O", "O"],
  "frac_coords": [[0.0000, 0.0000, 0.0000], [0.1644, 0.1644, 0.1644], [0.5798, 0.5798, 0.5798], [0.3006, 0.3006, 0.3006], [0.4254, 0.4254, 0.4254], [0.7391, 0.7391, 0.7391], [0.8643, 0.8643, 0.8643], [0.0304, 0.1350, 0.5814], [0.0408, 0.5717, 0.4674], [0.1263, 0.6882, 0.6023], [0.1350, 0.5814, 0.0304], [0.4674, 0.0408, 0.5717], [0.5717, 0.4674, 0.0408], [0.5814, 0.0304, 0.1350], [0.6023, 0.1263, 0.6882], [0.6882, 0.6023, 0.1263]]
}

---

Entry 7:
{
  "formula": "Ba2TmO",
  "functional": "PBE",
  "state": "relaxed",
  "raw_formation_energy_ev_per_atom": -0.90,
  "dos_at_fermi_per_ev_cell": 11.97,
  "cell": [[3.7933, 0.0000, 0.0000], [-1.8967, 3.2851, 0.0000], [0.0000, 0.0000, 31.4726]],
  "species": ["Ba", "Ba", "Ba", "Ba", "Ba", "Ba", "Tm", "Tm", "Tm", "O", "O", "O"],
  "frac_coords": [[0.0000, 0.0000, 0.1159], [0.0000, 0.0000, 0.8841], [0.3333, 0.6667, 0.5508], [0.3333, 0.6667, 0.7826], [0.6667, 0.3333, 0.2174], [0.6667, 0.3333, 0.4492], [0.0000, 0.0000, 0.0000], [0.3333, 0.6667, 0.6667], [0.6667, 0.3333, 0.3333], [0.0000, 0.0000, 0.5000], [0.3333, 0.6667, 0.1667], [0.6667, 0.3333, 0.8333]]
}

---

Entry 8:
{
  "formula": "Ba3TmU2O9",
  "functional": "PBE",
  "state": "relaxed",
  "raw_formation_energy_ev_per_atom": -3.19,
  "dos_at_fermi_per_ev_cell": 7.88,
  "cell": [[6.2225, 0.0000, 0.0000], [-3.1112, 5.3888, 0.0000], [0.0000, 0.0000, 7.6376]],
  "species": ["Ba", "Ba", "Ba", "Tm", "U", "U", "O", "O", "O", "O", "O", "O", "O", "O", "O"],
  "frac_coords": [[0.0000, 0.0000, 0.0000], [0.3333, 0.6667, 0.6582], [0.6667, 0.3333, 0.3418], [0.0000, 0.0000, 0.5000], [0.3333, 0.6667, 0.1707], [0.6667, 0.3333, 0.8293], [0.0000, 0.5000, 0.0000], [0.1685, 0.3371, 0.3323], [0.1685, 0.8315, 0.3323], [0.3371, 0.1685, 0.6677], [0.5000, 0.0000, 0.0000], [0.5000, 0.5000, 0.0000], [0.6629, 0.8315, 0.3323], [0.8315, 0.1685, 0.6677], [0.8315, 0.6629, 0.6677]]
}

---

Entry 9:
{
  "formula": "Ba2TmU3O12",
  "functional": "PBE",
  "state": "relaxed",
  "raw_formation_energy_ev_per_atom": -3.17,
  "dos_at_fermi_per_ev_cell": 8.87,
  "cell": [[4.0591, 2.3435, 6.2967], [-4.0591, 2.3435, 6.2967], [0.0000, -4.6871, 6.2967]],
  "species": ["Ba", "Ba", "Tm", "U", "U", "U", "O", "O", "O", "O", "O", "O", "O", "O", "O", "O", "O", "O"],
  "frac_coords": [[0.1863, 0.1863, 0.1863], [0.8137, 0.8137, 0.8137], [0.5000, 0.5000, 0.5000], [0.0000, 0.5000, 0.5000], [0.5000, 0.0000, 0.5000], [0.5000, 0.5000, 0.0000], [0.1673, 0.5724, 0.5724], [0.1848, 0.1848, 0.5401], [0.1848, 0.5401, 0.1848], [0.4277, 0.4276, 0.8327], [0.4277, 0.8327, 0.4277], [0.4599, 0.8152, 0.8152], [0.5401, 0.1848, 0.1848], [0.5724, 0.1673, 0.5724], [0.5724, 0.5724, 0.1673], [0.8152, 0.4599, 0.8152], [0.8152, 0.8152, 0.4599], [0.8327, 0.4276, 0.4276]]
}